# 1
DFT (PBE-GGA) results for a relaxed structure of RbNb2Se2.

Lattice parameters (Å, degrees): 8.6821 8.6821 3.3265 90.00 90.00 90.00
Closest atoms and distances in Å follow each position.
Element x y z (fractional)
Nb1 0.9030 0.4030 0.5000  1 Nb 2.38
Nb2 0.0970 0.5970 0.5000  1 Nb 2.38
Nb3 0.5970 0.9030 0.5000  1 Nb 2.38
Nb4 0.4030 0.0970 0.5000  1 Nb 2.38
Rb1 0.5000 0.5000 0.0000  4 Se 3.30, 2 Rb 3.33
Rb2 0.0000 0.0000 0.0000  4 Se 3.30, 2 Rb 3.33
Se1 0.8497 0.6503 0.0000  4 Nb 2.75
Se2 0.6503 0.1503 0.0000  4 Nb 2.75
Se3 0.1503 0.3497 0.0000  4 Nb 2.75
Se4 0.3497 0.8497 0.0000  4 Nb 2.75

Output
- Space group: P4/mbm (127)
- Energy relative to the lowest polymorph listed for this composition: 0.766 eV per atom
- Density of states at the Fermi level: 2.91 states/eV/f.u.
- Theoretical density: 5.7 g/cm³
- VASP energy: -5.63 eV/atom

***

# 2
DFT (PBE-GGA) results for a relaxed structure of Tb3YTm3Te8.

Lattice parameters (Å, degrees): 8.6466 8.6467 8.6465 120.00 90.00 120.00
Closest atoms and distances in Å follow each position.
Element x y z (fractional)
Te1 0.2520 0.5040 0.2560  3 Tm 3.03, 3 Tb 3.08
Te2 0.2565 0.5131 0.7526  2 Tm 3.03, 2 Tb 3.08, 1 Y 3.14
Te3 0.7435 0.0040 0.2475  2 Tm 3.03, 2 Tb 3.08, 1 Y 3.14
Te4 0.2565 0.9960 0.7525  2 Tm 3.03, 2 Tb 3.08, 1 Y 3.14
Te5 0.7480 0.4960 0.7440  3 Tm 3.03, 3 Tb 3.08
Te6 0.2605 0.0040 0.2475  2 Tm 3.03, 2 Tb 3.08, 1 Y 3.14
Te7 0.7395 0.9960 0.7525  2 Tm 3.03, 2 Tb 3.08, 1 Y 3.14
Te8 0.7435 0.4869 0.2474  2 Tm 3.03, 2 Tb 3.08, 1 Y 3.14
Tb1 0.0000 0.0000 0.0000  6 Te 3.08
Tb2 0.0000 0.5000 0.0000  6 Te 3.08
Tb3 0.5000 0.5000 0.0000  6 Te 3.08
Tm1 0.0000 0.5000 0.5000  6 Te 3.03
Tm2 0.5000 0.5000 0.5000  6 Te 3.03
Tm3 0.5000 0.0000 0.5000  6 Te 3.03
Y1 0.0000 0.0000 0.5000  6 Te 3.14

Output
- Space group: R-3m (166)
- Density of states at the Fermi level: 6.74 states/eV/f.u.
- Theoretical density: 7.6 g/cm³
- VASP energy: -5.27 eV/atom

***

# 3
DFT (PBE-GGA) results for a relaxed structure of BAsPRh2.

Lattice parameters (Å, degrees): 4.1817 4.1607 4.1817 90.00 90.00 90.00
Closest atoms and distances in Å follow each position.
Element x y z (fractional)
P1 0.5000 0.5000 0.5000  8 Rh 2.95, 4 As 2.96
Rh1 0.5000 0.0000 0.0000  2 B 2.09
Rh2 0.0000 0.0000 0.5000  2 B 2.09
B1 0.0000 0.0000 0.0000  2 As 2.08, 4 Rh 2.09
As1 0.0000 0.5000 0.0000  2 B 2.08

Output
- Space group: P4/mmm (123)
- Density of states at the Fermi level: 3.68 states/eV/f.u.
- Theoretical density: 7.4 g/cm³
- Formation enthalpy at 0 K: 9.9 kcal/mol of atoms
- VASP energy: -5.86 eV/atom

***

# 4
DFT (PBE-GGA) results for a relaxed structure of LiPuBiPb.

Lattice parameters (Å, degrees): 5.3496 5.3496 5.3496 60.00 60.00 60.00
Closest atoms and distances in Å follow each position.
Element x y z (fractional)
Bi1 0.7500 0.7500 0.7500  4 Li 3.28, 4 Pu 3.28
Pb1 0.2500 0.2500 0.2500  4 Pu 3.28, 4 Li 3.28
Li1 0.0000 0.0000 0.0000  4 Bi 3.28, 4 Pb 3.28
Pu1 0.5000 0.5000 0.5000  4 Pb 3.28, 4 Bi 3.28

Output
- Space group: F-43m (216)
- Energy relative to the lowest polymorph listed for this composition: 0.045 eV per atom
- Density of states at the Fermi level: 13.17 states/eV/f.u.
- Theoretical density: 10.2 g/cm³
- Formation enthalpy at 0 K: -5.0 kcal/mol of atoms
- VASP energy: -6.17 eV/atom

***

# 5
DFT (PBE-GGA) results for a relaxed structure of Th3In2Co.

Lattice parameters (Å, degrees): 7.3930 6.9372 8.2847 82.48 75.78 57.80
Closest atoms and distances in Å follow each position.
Element x y z (fractional)
In1 0.8748 0.2505 0.5000  1 In 2.94
In2 0.1252 0.7495 0.5000  1 In 2.94
In3 0.5000 0.0000 0.5000  6 Th 3.20-3.41
In4 0.0000 0.0000 0.0000  6 Th 3.14-3.23
Th1 0.4572 0.6154 0.7831  2 Co 2.77-2.79
Th2 0.0726 0.3846 0.7831  2 Co 2.77-2.79
Th3 0.3249 0.0000 0.1828  2 Co 2.72
Th4 0.9274 0.6154 0.2169  2 Co 2.77-2.79
Th5 0.5428 0.3846 0.2169  2 Co 2.77-2.79
Th6 0.6751 0.0000 0.8172  2 Co 2.72
Co1 0.6781 0.6437 0.0000  6 Th 2.72-2.79
Co2 0.3219 0.3563 0.0000  6 Th 2.72-2.79

Output
- Space group: C2/m (12)
- Density of states at the Fermi level: 7.35 states/eV/f.u.
- Theoretical density: 9.4 g/cm³
- Formation enthalpy at 0 K: -2.9 kcal/mol of atoms
- VASP energy: -5.93 eV/atom

***

# 6
DFT (PBE-GGA) results for a relaxed structure of TbPmLu4.

Lattice parameters (Å, degrees): 6.5735 6.5735 6.5735 60.00 60.00 60.00
Closest atoms and distances in Å follow each position.
Element x y z (fractional)
Lu1 0.6250 0.6250 0.6250  6 Lu 3.29
Lu2 0.6250 0.1249 0.6250  6 Lu 3.29
Lu3 0.1249 0.6250 0.6250  6 Lu 3.29
Lu4 0.6250 0.6250 0.1249  6 Lu 3.29
Pm1 0.2500 0.2500 0.2500  12 Lu 3.85, 4 Tb 4.03
Tb1 0.0000 0.0000 0.0000  12 Lu 3.85, 4 Pm 4.03

Output
- Space group: F-43m (216)
- Density of states at the Fermi level: 13.83 states/eV/f.u.
- Theoretical density: 8.3 g/cm³
- Formation enthalpy at 0 K: 6.5 kcal/mol of atoms
- VASP energy: -4.30 eV/atom

***

# 7
DFT (PBE-GGA) results for a relaxed structure of InMo2Ru.

Lattice parameters (Å, degrees): 7.4159 7.4159 5.8862 50.95 50.95 90.00
Closest atoms and distances in Å follow each position.
Element x y z (fractional)
Mo1 0.1706 0.6250 0.2500  2 Ru 2.49, 2 Mo 2.76
Mo2 0.3750 0.4206 0.7500  2 Ru 2.49, 2 Mo 2.76
Mo3 0.5794 0.1250 0.2500  2 Ru 2.49, 2 Mo 2.76
Mo4 0.8750 0.8294 0.7500  2 Ru 2.49, 2 Mo 2.76
In1 0.7500 0.2500 0.5000  2 Ru 2.67, 4 Mo 2.95
In2 0.0000 0.0000 0.0000  2 Ru 2.67, 4 Mo 2.95
Ru1 0.2500 0.7500 0.5000  4 Mo 2.49, 2 In 2.67
Ru2 0.5000 0.5000 0.0000  4 Mo 2.49, 2 In 2.67

Output
- Space group: I-42d (122)
- Density of states at the Fermi level: 4.67 states/eV/f.u.
- Theoretical density: 9.2 g/cm³
- Formation enthalpy at 0 K: 16.2 kcal/mol of atoms
- VASP energy: -7.72 eV/atom

***

# 8
DFT (PBE-GGA) results for a relaxed structure of Pm2TmAl.

Lattice parameters (Å, degrees): 4.8301 4.8123 4.8123 90.00 90.00 90.00
Closest atoms and distances in Å follow each position.
Element x y z (fractional)
Al1 0.5000 0.0000 0.0000  4 Tm 3.40, 8 Pm 3.41
Pm1 0.0000 0.5000 0.0000  4 Pm 3.40, 4 Al 3.41, 4 Tm 3.41
Pm2 0.0000 0.0000 0.5000  4 Pm 3.40, 4 Tm 3.41, 4 Al 3.41
Tm1 0.5000 0.5000 0.5000  4 Al 3.40, 8 Pm 3.41

Output
- Space group: P4/mmm (123)
- Energy relative to the lowest polymorph listed for this composition: 0.008 eV per atom
- Density of states at the Fermi level: 5.07 states/eV/f.u.
- Theoretical density: 7.2 g/cm³
- Formation enthalpy at 0 K: -4.0 kcal/mol of atoms
- VASP energy: -4.60 eV/atom

***

# 9
DFT (PBE-GGA) results for a relaxed structure of In12Sn3O5.

Lattice parameters (Å, degrees): 13.5880 13.5880 13.5880 109.47 109.47 109.47
Closest atoms and distances in Å follow each position.
Element x y z (fractional)
Sn1 0.8750 0.1250 0.2500  8 In 3.14
Sn2 0.1250 0.8750 0.7500  8 In 3.14
Sn3 0.1250 0.2500 0.8750  8 In 3.14
Sn4 0.3750 0.6250 0.2500  8 In 3.14
Sn5 0.2500 0.1250 0.3750  8 In 3.14
Sn6 0.6250 0.2500 0.3750  8 In 3.14
Sn7 0.7500 0.8750 0.6250  8 In 3.14
Sn8 0.8750 0.7500 0.1250  8 In 3.14
Sn9 0.2500 0.6250 0.8750  8 In 3.14
Sn10 0.6250 0.3750 0.7500  8 In 3.14
Sn11 0.3750 0.7500 0.6250  8 In 3.14
Sn12 0.7500 0.3750 0.1250  8 In 3.14
In1 0.5923 0.9829 0.6837  2 O 2.29-2.52
In2 0.9829 0.3906 0.2992  2 O 2.29-2.52
In3 0.9086 0.8163 0.7992  2 O 2.29-2.52
In4 0.3163 0.5171 0.4077  2 O 2.29-2.52
In5 0.0914 0.9077 0.3906  2 O 2.29-2.52
In6 0.6094 0.0171 0.2008  2 O 2.29-2.52
In7 0.2008 0.5171 0.6094  2 O 2.29-2.52
In8 0.4077 0.3906 0.5914  2 O 2.29-2.52
In9 0.9829 0.5923 0.1837  2 O 2.29-2.52
In10 0.8163 0.9077 0.0171  2 O 2.29-2.52
In11 0.9086 0.0923 0.6094  2 O 2.29-2.52
In12 0.1094 0.4086 0.0923  2 O 2.29-2.52
In13 0.7992 0.3163 0.9086  2 O 2.29-2.52
In14 0.0923 0.9086 0.1094  2 O 2.29-2.52
In15 0.5914 0.7008 0.6837  2 O 2.29-2.52
In16 0.8906 0.2992 0.4829  2 O 2.29-2.52
In17 0.2008 0.6837 0.0914  2 O 2.29-2.52
In18 0.4829 0.7992 0.8906  2 O 2.29-2.52
In19 0.3906 0.4077 0.0914  2 O 2.29-2.52
In20 0.8906 0.5914 0.9077  2 O 2.29-2.52
In21 0.5923 0.6094 0.4086  2 O 2.29-2.52
In22 0.3163 0.7992 0.4086  2 O 2.29-2.52
In23 0.0923 0.1837 0.4829  2 O 2.29-2.52
In24 0.7008 0.1094 0.0171  2 O 2.29-2.52
In25 0.7008 0.5914 0.1837  2 O 2.29-2.52
In26 0.6094 0.5923 0.9086  2 O 2.29-2.52
In27 0.4077 0.0171 0.3163  2 O 2.29-2.52
In28 0.7992 0.4829 0.3906  2 O 2.29-2.52
In29 0.2992 0.8906 0.9829  2 O 2.29-2.52
In30 0.9077 0.0914 0.8906  2 O 2.29-2.52
In31 0.3906 0.9829 0.7992  2 O 2.29-2.52
In32 0.5171 0.2008 0.1094  2 O 2.29-2.52
In33 0.0914 0.1837 0.2008  2 O 2.29-2.52
In34 0.6837 0.2008 0.5914  2 O 2.29-2.52
In35 0.1094 0.7008 0.5171  2 O 2.29-2.52
In36 0.5171 0.3163 0.9077  2 O 2.29-2.52
In37 0.8163 0.9086 0.2992  2 O 2.29-2.52
In38 0.1837 0.0923 0.9829  2 O 2.29-2.52
In39 0.4086 0.1094 0.5923  2 O 2.29-2.52
In40 0.6837 0.4829 0.5923  2 O 2.29-2.52
In41 0.9077 0.8163 0.5171  2 O 2.29-2.52
In42 0.1837 0.0914 0.7008  2 O 2.29-2.52
In43 0.2992 0.4086 0.8163  2 O 2.29-2.52
In44 0.4086 0.2992 0.3163  2 O 2.29-2.52
In45 0.5914 0.8906 0.4077  2 O 2.29-2.52
In46 0.4829 0.6837 0.0923  2 O 2.29-2.52
In47 0.0171 0.6094 0.7008  2 O 2.29-2.52
In48 0.0171 0.4077 0.8163  2 O 2.29-2.52
O1 0.8750 0.2500 0.6250  4 In 2.29
O2 0.0000 0.0000 0.5000  6 In 2.52
O3 0.2500 0.3750 0.6250  4 In 2.29
O4 0.7500 0.1250 0.8750  4 In 2.29
O5 0.5000 0.0000 0.0000  6 In 2.52
O6 0.0000 0.0000 0.0000  6 In 2.52
O7 0.7500 0.6250 0.3750  4 In 2.29
O8 0.3750 0.1250 0.7500  4 In 2.29
O9 0.1250 0.3750 0.2500  4 In 2.29
O10 0.5000 0.5000 0.0000  6 In 2.52
O11 0.1250 0.7500 0.3750  4 In 2.29
O12 0.5000 0.5000 0.5000  6 In 2.52
O13 0.0000 0.5000 0.0000  6 In 2.52
O14 0.6250 0.7500 0.8750  4 In 2.29
O15 0.3750 0.2500 0.1250  4 In 2.29
O16 0.8750 0.6250 0.7500  4 In 2.29
O17 0.2500 0.8750 0.1250  4 In 2.29
O18 0.6250 0.8750 0.2500  4 In 2.29
O19 0.0000 0.5000 0.5000  6 In 2.52
O20 0.5000 0.0000 0.5000  6 In 2.52

Output
- Space group: Ia-3d (230)
- Density of states at the Fermi level: 11.44 states/eV/f.u.
- Theoretical density: 6.2 g/cm³
- VASP energy: -3.84 eV/atom

***

# 10
DFT (PBE-GGA) results for a relaxed structure of Li2Ce3TaN6.

Lattice parameters (Å, degrees): 6.0158 6.0158 5.5983 99.65 99.65 120.36
Closest atoms and distances in Å follow each position.
Element x y z (fractional)
N1 0.7904 0.7904 0.2522  1 Ta 2.18, 2 Ce 2.35
N2 0.2096 0.2096 0.7478  1 Ta 2.18, 2 Ce 2.35
N3 0.6300 0.9164 0.7591  1 Ta 2.16, 2 Ce 2.31-2.33
N4 0.9164 0.6300 0.7591  1 Ta 2.16, 2 Ce 2.31-2.33
N5 0.0836 0.3700 0.2409  1 Ta 2.16, 2 Ce 2.31-2.33
N6 0.3700 0.0836 0.2409  1 Ta 2.16, 2 Ce 2.31-2.33
Ta1 0.0000 0.0000 0.0000  6 N 2.16-2.18
Li1 0.3429 0.6571 0.0000  6 N 2.45-2.60
Li2 0.6571 0.3429 0.0000  6 N 2.45-2.60
Ce1 0.8290 0.1710 0.5000  4 N 2.31-2.35
Ce2 0.5000 0.5000 0.5000  6 N 2.33-2.56
Ce3 0.1710 0.8290 0.5000  4 N 2.31-2.35

Output
- Space group: C2/m (12)
- Density of states at the Fermi level: 5.77 states/eV/f.u.
- Theoretical density: 7.1 g/cm³
- VASP energy: -8.07 eV/atom

***

# 11
DFT (PBE-GGA) results for a relaxed structure of BaCuW.

Lattice parameters (Å, degrees): 5.3614 5.3614 5.3614 60.00 60.00 60.00
Closest atoms and distances in Å follow each position.
Element x y z (fractional)
Cu1 0.0000 0.0000 0.0000  4 Ba 3.28
Ba1 0.7500 0.7500 0.7500  4 Cu 3.28, 4 W 3.28
W1 0.5000 0.5000 0.5000  4 Ba 3.28

Output
- Space group: F-43m (216)
- Energy relative to the lowest polymorph listed for this composition: 1.303 eV per atom
- Density of states at the Fermi level: 1.70 states/eV/f.u.
- Theoretical density: 5.9 g/cm³
- Formation enthalpy at 0 K: 52.0 kcal/mol of atoms
- VASP energy: -4.07 eV/atom

***

# 12
DFT (PBE-GGA) results for a relaxed structure of LaSc4Ta.

Lattice parameters (Å, degrees): 5.9417 5.9417 5.9417 60.00 60.00 60.00
Closest atoms and distances in Å follow each position.
Element x y z (fractional)
Sc1 0.3779 0.8663 0.3779  6 Sc 2.90-3.04
Sc2 0.3779 0.3779 0.3779  6 Sc 2.90-3.04
Sc3 0.8663 0.3779 0.3779  6 Sc 2.90-3.04
Sc4 0.3779 0.3779 0.8663  6 Sc 2.90-3.04
Ta1 0.7500 0.7500 0.7500  12 Sc 3.48, 4 La 3.64
La1 0.0000 0.0000 0.0000  12 Sc 3.49, 4 Ta 3.64

Output
- Space group: F-43m (216)
- Density of states at the Fermi level: 12.36 states/eV/f.u.
- Theoretical density: 5.6 g/cm³
- Formation enthalpy at 0 K: 12.1 kcal/mol of atoms
- VASP energy: -6.49 eV/atom